Here is an optimized crystal structure of NdHo3O from Alexandria via LeMat-Bulk. Energies are from PBE-GGA.

Structure (POSCAR):
```
NdHo3O
1.0
-0.5530 -4.8464 -0.8469
-0.8074 -0.7513 4.8264
-4.8531 0.6773 -0.7064
Ho O Nd
3 1 1
Cartesian
-0.4037 -0.3756 2.4132
-2.4265 0.3386 -0.3532
-0.2765 -2.4232 -0.4234
0.0000 0.0000 0.0000
-3.1068 -2.4602 1.6365
```

Values from the calculation:
Space-group type: No. 221
Raw total energy in eV per atom: -5.760
Calculated density in Mg/m³: 8.96



Here is an optimized crystal structure of RbAlN3 from Alexandria via LeMat-Bulk. Energies are from PBE-GGA.

Structure (POSCAR):
```
RbAlN3
1.0
-3.3648 -2.0890 1.0241
0.5557 -2.4702 -3.2130
2.2592 -2.5037 2.3156
N Rb Al
3 1 1
Cartesian
0.2779 -1.2351 -1.6065
1.1296 -1.2519 1.1578
-1.6824 -1.0445 0.5120
-0.2750 -3.5315 0.0634
0.0000 0.0000 0.0000
```

Values from the calculation:
Space-group type: No. 221
Raw total energy in eV per atom: -4.931
Calculated density in Mg/m³: 3.75



Here is an optimized crystal structure of K2BeMo from Alexandria via LeMat-Bulk. Energies are from PBE-GGA.

Structure (POSCAR):
```
K2BeMo
1.0
6.3949 -0.1181 0.0000
3.9361 5.0414 0.0000
-5.1655 -2.4617 2.8577
K Mo Be
2 1 1
Cartesian
0.0000 0.0000 0.0000
5.1655 2.4617 0.0000
1.9680 2.5207 1.4289
3.1974 -0.0590 1.4289
```

Values from the calculation:
Space-group type: No. 139
Raw total energy in eV per atom: -2.640
Calculated formation energy in eV/atom: 1.548
Calculated density in Mg/m³: 3.25